[1]
Density functional theory data (PBE-GGA) for TcIr2Se after structural relaxation.

Cell and atoms, written as POSCAR:
```
TcIr2Se
1.0
-8.0142 -2.3936 2.1846
-7.9919 -3.2491 -0.5494
-6.9265 -4.9521 1.4931
Se Tc Ir
1 1 2
direct
0.4969 0.4969 0.4969
0.7524 0.7524 0.7524
0.0024 0.0024 0.0024
0.2483 0.2483 0.2483
```

Its symmetry is R3m (160). As for the density of states at the Fermi level: 5.23 states/eV per cell.

=====

[2]
Density functional theory data (PBE-GGA) for TcIrSe after structural relaxation.

Cell and atoms, written as POSCAR:
```
TcIrSe
1.0
4.1753 0.0000 0.0000
-2.0876 3.6159 0.0000
0.0000 0.0000 3.0682
Ir Se Tc
1 1 1
direct
0.0000 0.0000 0.0453
0.3333 0.6667 0.3946
0.6667 0.3333 0.5601
```

Its symmetry is P3m1 (156). As for the density of states at the Fermi level: 3.53 states/eV per cell.

=====

[3]
Density functional theory data (PBE-GGA) for TcIrSe after structural relaxation.

Cell and atoms, written as POSCAR:
```
TcIrSe
1.0
4.2275 0.0000 0.0000
2.1138 3.6611 0.0000
2.1138 1.2204 3.4517
Tc Ir Se
1 1 1
direct
0.7500 0.7500 0.7500
0.0000 0.0000 0.0000
0.5000 0.5000 0.5000
```

Its symmetry is F-43m (216). As for the density of states at the Fermi level: 4.48 states/eV per cell.

=====

[4]
Density functional theory data (PBE-GGA) for TcIr2Se after structural relaxation.

Cell and atoms, written as POSCAR:
```
TcIr2Se
1.0
3.9638 0.0000 0.0000
0.0000 2.8601 -0.0010
0.0000 1.4322 5.3783
Se Ir Tc
1 2 1
direct
0.0000 0.3007 0.5269
0.0000 0.0700 0.9834
0.5000 0.4426 0.2396
0.5000 0.6868 0.7500
```

Its symmetry is Pm (6). As for the density of states at the Fermi level: 2.95 states/eV per cell.

=====

[5]
Density functional theory data (PBE-GGA) for TcIrSe2 after structural relaxation.

Cell and atoms, written as POSCAR:
```
TcIrSe2
1.0
0.0000 3.1577 3.1577
3.1577 0.0000 3.1577
3.1577 3.1577 0.0000
Se Ir Tc
2 1 1
direct
0.7500 0.7500 0.7500
0.2500 0.2500 0.2500
0.5000 0.5000 0.5000
0.0000 0.0000 0.0000
```

Its symmetry is Fm-3m (225). As for the density of states at the Fermi level: 3.21 states/eV per cell.

=====

[6]
Density functional theory data (PBE-GGA) for TcIrSe2 after structural relaxation.

Cell and atoms, written as POSCAR:
```
TcIrSe2
1.0
8.0908 -0.0076 -0.0045
7.5150 2.9977 -0.0045
7.5150 1.4399 2.6293
Ir Se Tc
1 2 1
direct
0.7500 0.7500 0.7500
0.5043 0.5043 0.5043
0.9957 0.9957 0.9957
0.2500 0.2500 0.2500
```

Its symmetry is R-3m (166). As for the density of states at the Fermi level: 2.57 states/eV per cell.

=====

[7]
Density functional theory data (PBE-GGA) for TcIr2Se after structural relaxation.

Cell and atoms, written as POSCAR:
```
TcIr2Se
1.0
-3.0558 3.9157 -2.8712
2.2093 -1.8997 -4.9422
-4.3852 -2.4171 -4.3612
Ir Se Tc
4 2 2
direct
0.3750 0.3691 0.7500
0.1191 0.6250 0.2500
0.8750 0.8809 0.7500
0.6309 0.1250 0.2500
0.2500 0.7500 0.5000
0.5000 0.5000 0.0000
0.7500 0.2500 0.5000
0.0000 0.0000 0.0000
```

Its symmetry is I-42d (122). As for the density of states at the Fermi level: 4.76 states/eV per cell.

=====

[8]
Density functional theory data (PBE-GGA) for TcIrSe2 after structural relaxation.

Cell and atoms, written as POSCAR:
```
TcIrSe2
1.0
-2.8435 -0.2880 0.2338
1.2771 -0.6784 -2.4762
1.2272 -9.4906 3.2330
Tc Se Ir
1 2 1
direct
0.0000 0.0000 0.5100
0.5000 0.5000 0.3044
0.0000 0.0000 0.9516
0.5000 0.5000 0.7340
```

Its symmetry is Cmm2 (35). As for the density of states at the Fermi level: 4.69 states/eV per cell.

=====

[9]
Density functional theory data (PBE-GGA) for TcIrSe2 after structural relaxation.

Cell and atoms, written as POSCAR:
```
TcIrSe2
1.0
-0.7980 -1.4263 -5.2672
0.9606 -5.1431 -1.7437
-2.7835 3.3725 3.3606
Tc Se Ir
1 2 1
direct
0.5140 0.5140 0.0000
0.7303 0.2303 0.5000
0.0130 0.0130 0.0000
0.2428 0.7428 0.5000
```

Its symmetry is Imm2 (44). As for the density of states at the Fermi level: 4.00 states/eV per cell.

=====

[10]
Density functional theory data (PBE-GGA) for TcIr2Se after structural relaxation.

Cell and atoms, written as POSCAR:
```
TcIr2Se
1.0
4.7138 0.0000 0.0000
0.0000 4.7138 0.0000
0.0000 0.0000 2.7851
Se Tc Ir
1 1 2
direct
0.5000 0.0000 0.5000
0.0000 0.5000 0.5000
0.0000 0.0000 0.0000
0.5000 0.5000 0.0000
```

Its symmetry is P4/mmm (123). As for the density of states at the Fermi level: 3.52 states/eV per cell.

=====

[11]
Density functional theory data (PBE-GGA) for TcIr2Se after structural relaxation.

Cell and atoms, written as POSCAR:
```
TcIr2Se
1.0
-1.6341 -1.7877 -1.4712
3.4282 -0.6126 -3.0634
1.6210 -3.5605 2.5261
Ir Tc Se
2 1 1
direct
0.0000 0.0000 0.0000
0.5000 0.5000 0.0000
0.0000 0.5000 0.5000
0.5000 0.0000 0.5000
```

Its symmetry is Pmmm (47). As for the density of states at the Fermi level: 3.88 states/eV per cell.

=====

[12]
Density functional theory data (PBE-GGA) for TcIrSe2 after structural relaxation.

Cell and atoms, written as POSCAR:
```
TcIrSe2
1.0
3.0705 0.0000 0.0000
0.0000 5.2869 -0.0068
0.0000 3.5426 3.9246
Se Tc Ir
2 1 1
direct
0.5000 0.5000 0.0000
0.0000 0.0000 0.0000
0.5000 0.5000 0.5000
0.0000 0.0000 0.5000
```

Its symmetry is P2/m (10). As for the density of states at the Fermi level: 3.39 states/eV per cell.

=====

[13]
Density functional theory data (PBE-GGA) for TcIrSe2 after structural relaxation.

Cell and atoms, written as POSCAR:
```
TcIrSe2
1.0
-1.7403 3.1712 2.7367
-4.1691 -0.5195 1.7099
-0.5472 -0.8691 4.4182
Se Tc Ir
2 1 1
direct
0.2500 0.2500 0.2500
0.0000 0.0000 0.0000
0.7500 0.7500 0.7500
0.5000 0.5000 0.5000
```

Its symmetry is F-43m (216). As for the density of states at the Fermi level: 3.81 states/eV per cell.

=====

[14]
Density functional theory data (PBE-GGA) for TcIrSe2 after structural relaxation.

Cell and atoms, written as POSCAR:
```
TcIrSe2
1.0
-2.5882 -1.3513 0.2893
-0.4819 -0.1983 -5.2369
1.9841 -3.8085 -0.0384
Tc Se Ir
1 2 1
direct
0.5000 0.0000 0.5000
0.0000 0.0000 0.0000
0.5000 0.5000 0.0000
0.0000 0.5000 0.5000
```

Its symmetry is Pmmm (47). As for the density of states at the Fermi level: 5.25 states/eV per cell.

=====

[15]
Density functional theory data (PBE-GGA) for TcIrSe2 after structural relaxation.

Cell and atoms, written as POSCAR:
```
TcIrSe2
1.0
1.7884 0.0000 8.3142
-0.8942 1.5488 8.3142
-0.8942 -1.5488 8.3142
Se Ir Tc
2 1 1
direct
0.9046 0.9046 0.9046
0.0954 0.0954 0.0954
0.0000 0.0000 0.0000
0.5000 0.5000 0.5000
```

Its symmetry is R-3m (166). As for the density of states at the Fermi level: 2.91 states/eV per cell.

=====

[16]
Density functional theory data (PBE-GGA) for TcIr2Se after structural relaxation.

Cell and atoms, written as POSCAR:
```
TcIr2Se
1.0
-3.5592 0.6500 -3.1121
3.7625 -1.8604 -2.2712
-0.9550 -2.6018 0.5480
Ir Se Tc
2 1 1
direct
0.0000 0.0000 0.0000
0.5000 0.5000 0.0000
0.5000 0.0000 0.5000
0.0000 0.5000 0.5000
```

Its symmetry is Cmmm (65). As for the density of states at the Fermi level: 3.21 states/eV per cell.

=====

[17]
Density functional theory data (PBE-GGA) for TcIrSe2 after structural relaxation.

Cell and atoms, written as POSCAR:
```
TcIrSe2
1.0
-1.3404 2.8366 4.0612
-1.0732 -0.0749 5.0178
5.8722 1.1375 1.8219
Se Ir Tc
2 1 1
direct
0.0332 0.0332 0.0969
0.8046 0.8046 0.6284
0.1917 0.1917 0.3850
0.4705 0.4705 0.3897
```

Its symmetry is Cm (8). As for the density of states at the Fermi level: 2.80 states/eV per cell.

=====

[18]
Density functional theory data (PBE-GGA) for TcIrSe2 after structural relaxation.

Cell and atoms, written as POSCAR:
```
TcIrSe2
1.0
4.0375 0.0000 0.0000
0.0000 2.9472 -0.0323
0.0000 1.4364 6.7437
Se Ir Tc
2 1 1
direct
0.5000 0.2354 0.3457
0.0000 0.0223 0.9014
0.5000 0.8484 0.7039
0.0000 0.3939 0.5490
```

Its symmetry is Pm (6). As for the density of states at the Fermi level: 2.51 states/eV per cell.

=====

[19]
Density functional theory data (PBE-GGA) for TcIr2Se after structural relaxation.

Cell and atoms, written as POSCAR:
```
TcIr2Se
1.0
2.7770 -0.0026 0.0000
-1.3911 2.4034 0.0000
0.0000 0.0000 9.3779
Se Tc Ir
1 1 2
direct
0.0000 0.0000 0.5059
0.5000 0.5000 0.7552
0.0000 0.0000 0.9947
0.5000 0.5000 0.2442
```

Its symmetry is Cmm2 (35). As for the density of states at the Fermi level: 6.17 states/eV per cell.

=====

[20]
Density functional theory data (PBE-GGA) for TcIrSe2 after structural relaxation.

Cell and atoms, written as POSCAR:
```
TcIrSe2
1.0
5.8110 -0.0296 0.0086
-4.4341 4.9684 0.0013
1.2835 -0.3610 2.3917
Tc Se Ir
1 2 1
direct
0.5000 0.5000 0.0000
0.0000 0.5000 0.5000
0.0000 0.0000 0.0000
0.5000 0.0000 0.5000
```

Its symmetry is Cmmm (65). As for the density of states at the Fermi level: 3.80 states/eV per cell.

=====

[21]
Density functional theory data (PBE-GGA) for TcIrSe2 after structural relaxation.

Cell and atoms, written as POSCAR:
```
TcIrSe2
1.0
-0.1158 -2.1073 2.0035
2.5666 0.6811 -1.1903
1.3694 5.9905 6.3802
Se Tc Ir
2 1 1
direct
0.0000 0.0000 0.4906
0.0000 0.0000 0.0094
0.5000 0.5000 0.2500
0.5000 0.5000 0.7500
```

Its symmetry is Cmmm (65). As for the density of states at the Fermi level: 3.80 states/eV per cell.

=====

[22]
Density functional theory data (PBE-GGA) for TcIrSe2 after structural relaxation.

Cell and atoms, written as POSCAR:
```
TcIrSe2
1.0
-3.4264 3.8783 0.6587
-3.9716 0.3685 -3.3624
2.2146 -3.7032 2.9320
Se Ir Tc
2 1 1
direct
0.2500 0.7500 0.5000
0.0000 0.0000 0.0000
0.7500 0.2500 0.5000
0.5000 0.5000 0.0000
```

Its symmetry is I-4m2 (119). As for the density of states at the Fermi level: 5.38 states/eV per cell.

=====

[23]
Density functional theory data (PBE-GGA) for TcIrSe4 after structural relaxation.

Cell and atoms, written as POSCAR:
```
TcIrSe4
1.0
3.6467 -0.0031 -0.0008
-1.8196 6.4371 -1.1745
0.0016 0.0349 5.8599
Tc Se Ir
1 4 1
direct
0.5018 0.0035 0.4446
0.5969 0.1936 0.8802
0.1287 0.2573 0.4020
0.9046 0.8094 0.6243
0.3693 0.7388 0.1069
0.9987 0.9974 0.0420
```

Its symmetry is Cm (8).

=====

[24]
Density functional theory data (PBE-GGA) for TcIr2Se after structural relaxation.

Cell and atoms, written as POSCAR:
```
TcIr2Se
1.0
-2.7185 0.1794 -0.9081
-0.6797 -2.2994 1.5805
-1.6030 4.3649 5.6610
Tc Ir Se
1 2 1
direct
0.5000 0.5000 0.7468
0.5000 0.5000 0.2499
0.0000 0.0000 0.9905
0.0000 0.0000 0.5129
```

Its symmetry is P4mm (99). As for the density of states at the Fermi level: 4.35 states/eV per cell.

=====

[25]
Density functional theory data (PBE-GGA) for TcIrSe2 after structural relaxation.

Cell and atoms, written as POSCAR:
```
TcIrSe2
1.0
-2.5593 -1.4306 -4.3842
-3.8199 -3.4749 1.0732
1.8669 4.8986 0.5803
Ir Tc Se
1 1 2
direct
0.2500 0.7500 0.5000
0.7500 0.2500 0.5000
0.5078 0.5078 0.0000
0.9922 0.9922 0.0000
```

Its symmetry is Immm (71). As for the density of states at the Fermi level: 4.18 states/eV per cell.

=====

[26]
Density functional theory data (PBE-GGA) for Tc4IrSe after structural relaxation.

Cell and atoms, written as POSCAR:
```
Tc4IrSe
1.0
3.4240 2.8007 2.6092
-0.9721 1.3779 4.8510
2.6514 -2.1219 3.8527
Tc Ir Se
4 1 1
direct
0.3761 0.3761 0.3761
0.8717 0.3761 0.3761
0.3761 0.8717 0.3761
0.3761 0.3761 0.8717
0.7500 0.7500 0.7500
0.0000 0.0000 0.0000
```

Its symmetry is F-43m (216). As for the density of states at the Fermi level: 6.66 states/eV per cell.

=====

[27]
Density functional theory data (PBE-GGA) for TcIrSe2 after structural relaxation.

Cell and atoms, written as POSCAR:
```
TcIrSe2
1.0
-0.3517 -3.6892 4.1421
4.3751 -2.7357 -2.0651
5.4121 -0.0910 4.1074
Se Tc Ir
4 2 2
direct
0.8750 0.8726 0.7500
0.3750 0.3774 0.7500
0.6226 0.1250 0.2500
0.1274 0.6250 0.2500
0.5000 0.5000 0.0000
0.2500 0.7500 0.5000
0.0000 0.0000 0.0000
0.7500 0.2500 0.5000
```

Its symmetry is I-42d (122). As for the density of states at the Fermi level: 6.84 states/eV per cell.

=====

[28]
Density functional theory data (PBE-GGA) for TcIrSe2 after structural relaxation.

Cell and atoms, written as POSCAR:
```
TcIrSe2
1.0
-0.4697 -0.3772 -3.1002
2.5484 -1.8587 -0.1599
-3.6042 -5.0414 1.1594
Tc Se Ir
1 2 1
direct
0.5000 0.5000 0.2500
0.0000 0.0000 0.0079
0.0000 0.0000 0.4921
0.5000 0.5000 0.7500
```

Its symmetry is P4/mmm (123). As for the density of states at the Fermi level: 3.01 states/eV per cell.

=====

[29]
Density functional theory data (PBE-GGA) for Th8TcIr3Se4 after structural relaxation.

Cell and atoms, written as POSCAR:
```
Th8TcIr3Se4
1.0
8.2643 0.0000 0.0000
0.0000 8.7593 0.3346
-4.1321 -4.1199 5.8507
Se Th Ir Tc
4 8 3 1
direct
0.5000 0.0000 0.5000
0.0000 0.0000 0.0000
0.0000 0.0000 0.5000
0.5000 0.0000 0.0000
0.2365 0.7158 0.9795
0.7383 0.7146 0.4766
0.7637 0.2842 0.5273
0.7430 0.7158 0.9795
0.2617 0.2854 0.5234
0.2363 0.7158 0.4727
0.2570 0.2842 0.0205
0.7635 0.2842 0.0205
0.0000 0.5000 0.5000
0.5000 0.5000 0.5000
0.5000 0.5000 0.0000
0.0000 0.5000 0.0000
```

Its symmetry is R-3m (166). As for the density of states at the Fermi level: 9.11 states/eV per cell.

=====

Number 1: E_form (uncorrected) 0.25 eV/atom, calculated volume 60.3 Å³ per cell. Number 2: E_form (uncorrected) 0.34 eV/atom, calculated volume 46.3 Å³ per cell. Number 3: E_form (uncorrected) 0.32 eV/atom, calculated volume 53.4 Å³ per cell. Number 4: E_form (uncorrected) 0.25 eV/atom, calculated volume 61.0 Å³ per cell. Number 5: E_form (uncorrected) 0.40 eV/atom, calculated volume 63.0 Å³ per cell. Number 6: E_form (uncorrected) 0.26 eV/atom, calculated volume 64.0 Å³ per cell. Number 7: E_form (uncorrected) 0.62 eV/atom, calculated volume 173.0 Å³ per cell. Number 8: E_form (uncorrected) 0.44 eV/atom, calculated volume 72.5 Å³ per cell. Number 9: E_form (uncorrected) 0.41 eV/atom, calculated volume 65.1 Å³ per cell. Number 10: E_form (uncorrected) 0.52 eV/atom, calculated volume 61.9 Å³ per cell. Number 11: E_form (uncorrected) 0.42 eV/atom, calculated volume 61.2 Å³ per cell. Number 12: E_form (uncorrected) 0.28 eV/atom, calculated volume 63.8 Å³ per cell. Number 13: E_form (uncorrected) 0.76 eV/atom, calculated volume 66.0 Å³ per cell. Number 14: E_form (uncorrected) 0.67 eV/atom, calculated volume 66.3 Å³ per cell. Number 15: E_form (uncorrected) 0.17 eV/atom, calculated volume 69.1 Å³ per cell. Number 16: E_form (uncorrected) 0.38 eV/atom, calculated volume 60.7 Å³ per cell. Number 17: E_form (uncorrected) 0.11 eV/atom, calculated volume 93.8 Å³ per cell. Number 18: E_form (uncorrected) 0.13 eV/atom, calculated volume 80.4 Å³ per cell. Number 19: E_form (uncorrected) 0.56 eV/atom, calculated volume 62.6 Å³ per cell. Number 20: E_form (uncorrected) 0.49 eV/atom, calculated volume 68.7 Å³ per cell. Number 21: E_form (uncorrected) 0.69 eV/atom, calculated volume 65.5 Å³ per cell. Number 22: E_form (uncorrected) 0.60 eV/atom, calculated volume 64.4 Å³ per cell. Number 23: E_form (uncorrected) -0.33 eV/atom, calculated volume 137.7 Å³ per cell. Number 24: E_form (uncorrected) 0.27 eV/atom, calculated volume 60.4 Å³ per cell. Number 25: E_form (uncorrected) 0.67 eV/atom, calculated volume 66.2 Å³ per cell. Number 26: E_form (uncorrected) 0.70 eV/atom, calculated volume 95.8 Å³ per cell. Number 27: E_form (uncorrected) 0.25 eV/atom, calculated volume 171.2 Å³ per cell. Number 28: E_form (uncorrected) 0.35 eV/atom, calculated volume 62.9 Å³ per cell. Number 29: E_form (uncorrected) -1.20 eV/atom, calculated volume 434.9 Å³ per cell.